Entry 1:
Computed, not measured: a relaxed structure of TmLuSi2Os at the PBE-GGA level of DFT.

The value obtained for the calculated total energy is -70.3 eV for the cell shown. Its volume is 94.8 Å³/f.u. The symmetry is C2/m, No. 12. Its energy above the most stable polymorph in this dataset is 0.04 eV per formula unit.

```
TmLuSi2Os
1.0
5.238 -2.097 0.000
5.238 2.097 0.000
-4.694 0.000 8.626
Lu Os Si Tm
2 2 4 2
Direct
0.185 0.185 0.111 Lu
0.815 0.815 0.889 Lu
0.731 0.731 0.371 Os
0.269 0.269 0.629 Os
0.494 0.494 0.123 Si
0.359 0.359 0.440 Si
0.641 0.641 0.560 Si
0.506 0.506 0.877 Si
0.993 0.993 0.321 Tm
0.007 0.007 0.679 Tm
```


Entry 2:
Computed, not measured: a relaxed structure of YLuSi2Os at the PBE-GGA level of DFT.

The value obtained for the calculated total energy is -74.1 eV for the cell shown. Its volume is 96.7 Å³/f.u. The symmetry is C2/m, No. 12. Its energy above the most stable polymorph in this dataset is 0.14 eV per formula unit.

```
YLuSi2Os
1.0
5.321 -2.100 0.000
5.321 2.100 0.000
-4.811 0.000 8.657
Lu Os Si Y
2 2 4 2
Direct
0.182 0.182 0.111 Lu
0.818 0.818 0.889 Lu
0.730 0.730 0.371 Os
0.270 0.270 0.629 Os
0.495 0.495 0.123 Si
0.356 0.356 0.439 Si
0.644 0.644 0.561 Si
0.505 0.505 0.877 Si
0.989 0.989 0.318 Y
0.011 0.011 0.682 Y
```